# 1
5
Lattice="4.7477 0.0000 0.0000 0.0000 4.7477 0.0000 0.0000 0.0000 3.4307" Properties=species:S:1:pos:R:3 comment="GeP2IrO, relaxed, DFT PBE-GGA" raw_formation_energy_mev_per_atom=605 vol_a3_per_cell=77.3 polymorph_energy_mev_per_atom=320.3 density_g_cm3=7.361 crystal_system=tetragonal pbc="T T T"
Ge 0.0000 0.0000 0.0000
P 0.0000 2.3739 0.0000
P 2.3739 0.0000 0.0000
Ir 2.3739 2.3739 1.7154
O 0.0000 0.0000 1.7154


# 2
4
Lattice="3.0575 0.0000 0.0000 0.0000 5.7677 0.0000 0.0000 0.0000 5.9906" Properties=species:S:1:pos:R:3 comment="K2ZrPt, relaxed, DFT PBE-GGA" formation_enthalpy_0k_ev_per_atom=0.5727 vol_a3_per_cell=105.6 polymorph_energy_mev_per_atom=679.1 density_g_cm3=5.729 crystal_system=orthorhombic pbc="T T T"
K 0.0000 1.3798 0.0000
K 0.0000 4.3879 0.0000
Zr 1.5287 2.8839 2.9953
Pt 1.5287 0.0000 2.9953